DFT (PBE-GGA) results for a geometry-optimized Cs2U2FeSe6 structure.

Cell: 6.9738 6.9738 8.9572 Å, 97.60 97.60 119.59°
Fractional positions:
Cs (0.1675, 0.8325, 0.0000)
Cs (0.8325, 0.1675, 0.0000)
U (0.3326, 0.6674, 0.5000)
U (0.6674, 0.3326, 0.5000)
Fe (0.0000, 0.0000, 0.5000)
Se (0.0625, 0.3836, 0.6794)
Se (0.2615, 0.2615, 0.3226)
Se (0.3836, 0.0625, 0.6794)
Se (0.6164, 0.9375, 0.3206)
Se (0.7385, 0.7385, 0.6774)
Se (0.9375, 0.6164, 0.3206)

The calculation puts the formation energy from raw total energies at -1.0009 eV per atom. As for the volume: 33.2 Å³/atom. As for the density of states at the Fermi level: 1.50 states/eV per atom. Its space group is C2/m, No. 12.

---

DFT (PBE-GGA) results for a geometry-optimized CsUFeSe3 structure.

Cell: 9.8416 4.0496 10.1808 Å, 90.00 115.41 90.00°
Fractional positions:
Cs (0.2187, 0.2500, 0.2470)
Cs (0.7813, 0.7500, 0.7530)
U (0.3157, 0.7500, 0.8368)
U (0.6843, 0.2500, 0.1632)
Fe (0.0788, 0.2500, 0.5935)
Fe (0.9212, 0.7500, 0.4065)
Se (0.1203, 0.2500, 0.8495)
Se (0.1989, 0.7500, 0.5334)
Se (0.4720, 0.7500, 0.1500)
Se (0.5280, 0.2500, 0.8500)
Se (0.8011, 0.2500, 0.4666)
Se (0.8797, 0.7500, 0.1505)

The calculation puts the formation energy from raw total energies at -0.9793 eV per atom. As for the volume: 30.5 Å³/atom. As for the density of states at the Fermi level: 0.83 states/eV per atom. Its space group is P2_1/m, No. 11.

---

DFT (PBE-GGA) results for a geometry-optimized CsZrFeSe3 structure.

Cell: 9.6124 3.8779 10.1735 Å, 90.00 116.70 90.00°
Fractional positions:
Cs (0.2265, 0.2500, 0.2502)
Cs (0.7735, 0.7500, 0.7498)
Zr (0.3171, 0.7500, 0.8379)
Zr (0.6829, 0.2500, 0.1621)
Fe (0.0706, 0.2500, 0.5927)
Fe (0.9294, 0.7500, 0.4073)
Se (0.1263, 0.2500, 0.8524)
Se (0.2133, 0.7500, 0.5447)
Se (0.4720, 0.7500, 0.1438)
Se (0.5280, 0.2500, 0.8562)
Se (0.7867, 0.2500, 0.4553)
Se (0.8737, 0.7500, 0.1476)

The calculation puts the formation energy from raw total energies at -1.0594 eV per atom. As for the volume: 28.2 Å³/atom. As for the density of states at the Fermi level: 0.36 states/eV per atom. Its space group is P2_1/m, No. 11.

---

DFT (PBE-GGA) results for a geometry-optimized CsFeSi3 structure.

Cell: 5.3727 5.3727 5.3727 Å, 90.00 90.00 90.00°
Fractional positions:
Cs (0.0000, 0.0000, 0.0000)
Fe (0.5000, 0.5000, 0.5000)
Si (0.0000, 0.0000, 0.5000)
Si (0.0000, 0.5000, 0.0000)
Si (0.5000, 0.0000, 0.0000)

The calculation puts the formation energy from raw total energies at 3.0543 eV per atom. As for the volume: 31.0 Å³/atom. As for the density of states at the Fermi level: 3.38 states/eV per atom. The calculation puts the excess energy over the best structure of this formula in the dataset at 12.86 eV/f.u. Its space group is Pm-3m, No. 221.

---

DFT (PBE-GGA) results for a geometry-optimized CsFeSi3 structure.

Cell: 4.6158 4.6158 4.6158 Å, 90.00 90.00 90.00°
Fractional positions:
Cs (0.0000, 0.0000, 0.0000)
Fe (0.5000, 0.5000, 0.5000)
Si (0.0000, 0.5000, 0.5000)
Si (0.5000, 0.0000, 0.5000)
Si (0.5000, 0.5000, 0.0000)

The calculation puts the formation energy from raw total energies at 0.4827 eV per atom. As for the volume: 19.7 Å³/atom. As for the density of states at the Fermi level: 1.18 states/eV per atom. The calculation puts the excess energy over the best structure of this formula in the dataset at 0.00 eV/f.u. Its space group is Pm-3m, No. 221.

---

DFT (PBE-GGA) results for a geometry-optimized Cs3FeSi structure.

Cell: 5.8483 5.8483 5.8483 Å, 90.00 90.00 90.00°
Fractional positions:
Cs (0.0000, 0.0000, 0.5000)
Cs (0.0000, 0.5000, 0.0000)
Cs (0.5000, 0.0000, 0.0000)
Fe (0.0000, 0.0000, 0.0000)
Si (0.5000, 0.5000, 0.5000)

The calculation puts the formation energy from raw total energies at 1.4173 eV per atom. As for the volume: 40.0 Å³/atom. As for the density of states at the Fermi level: 3.01 states/eV per atom. Its space group is Pm-3m, No. 221.

---

DFT (PBE-GGA) results for a geometry-optimized CsFeSn2 structure.

Cell: 8.0356 8.0356 8.0356 Å, 126.70 126.70 78.73°
Fractional positions:
Cs (0.3750, 0.6250, 0.7500)
Cs (0.6250, 0.3750, 0.2500)
Fe (0.1250, 0.8750, 0.2500)
Fe (0.8750, 0.1250, 0.7500)
Sn (0.0000, 0.0000, 0.0000)
Sn (0.0000, 0.0000, 0.5000)
Sn (0.0000, 0.5000, 0.0000)
Sn (0.5000, 0.0000, 0.5000)

As for the volume: 40.3 Å³/atom. For the formation energy from the elements, the calculation gives 0.157 eV per atom. As for the density of states at the Fermi level: 0.50 states/eV per atom. Its space group is I4_1/amd, No. 141.

---

DFT (PBE-GGA) results for a geometry-optimized Cs2FeSn2 structure.

Cell: 9.0833 9.0833 9.0833 Å, 149.53 149.53 43.63°
Fractional positions:
Cs (0.2500, 0.7500, 0.5000)
Cs (0.7500, 0.2500, 0.5000)
Fe (0.0000, 0.0000, 0.0000)
Sn (0.4201, 0.4201, 0.0000)
Sn (0.5799, 0.5799, 0.0000)

As for the volume: 38.4 Å³/atom. For the formation energy from the elements, the calculation gives 0.858 eV per atom. As for the density of states at the Fermi level: 1.31 states/eV per atom. Its space group is I4/mmm, No. 139.

---

DFT (PBE-GGA) results for a geometry-optimized CsFeTcSn2 structure.

Cell: 5.1235 5.1235 5.7167 Å, 90.00 90.00 90.00°
Fractional positions:
Cs (0.0000, 0.0000, 0.0000)
Fe (0.5000, 0.5000, 0.0000)
Tc (0.0000, 0.0000, 0.5000)
Sn (0.0000, 0.5000, 0.5000)
Sn (0.5000, 0.0000, 0.5000)

As for the volume: 30.0 Å³/atom. For the formation energy from the elements, the calculation gives 1.082 eV per atom. As for the density of states at the Fermi level: 1.91 states/eV per atom. Its space group is P4/mmm, No. 123.

---

DFT (PBE-GGA) results for a geometry-optimized CsZrFeSn2 structure.

Cell: 5.9959 5.9959 5.3183 Å, 90.00 90.00 90.00°
Fractional positions:
Cs (0.0000, 0.0000, 0.0000)
Zr (0.0000, 0.0000, 0.5000)
Fe (0.5000, 0.5000, 0.5000)
Sn (0.0000, 0.5000, 0.0000)
Sn (0.5000, 0.0000, 0.0000)

As for the volume: 38.2 Å³/atom. For the formation energy from the elements, the calculation gives 2.318 eV per atom. As for the density of states at the Fermi level: 1.85 states/eV per atom. Its space group is P4/mmm, No. 123.

---

DFT (PBE-GGA) results for a geometry-optimized CsSrFe2 structure.

Cell: 5.5884 5.5884 5.5884 Å, 60.00 60.00 60.00°
Fractional positions:
Cs (0.0000, 0.0000, 0.0000)
Sr (0.5000, 0.5000, 0.5000)
Fe (0.2500, 0.2500, 0.2500)
Fe (0.7500, 0.7500, 0.7500)

As for the volume: 30.9 Å³/atom. For the formation energy from the elements, the calculation gives 1.335 eV per atom. As for the density of states at the Fermi level: 3.78 states/eV per atom. The calculation puts the excess energy over the best structure of this formula in the dataset at 0.00 eV/f.u. Its space group is Fm-3m, No. 225.

---

DFT (PBE-GGA) results for a geometry-optimized CsSrFe2 structure.

Cell: 6.9418 6.9418 6.9418 Å, 101.81 101.81 126.20°
Fractional positions:
Cs (0.0000, 0.0000, 0.0000)
Cs (0.7500, 0.2500, 0.5000)
Sr (0.2500, 0.7500, 0.5000)
Sr (0.5000, 0.5000, 0.0000)
Fe (0.1289, 0.6250, 0.0039)
Fe (0.3750, 0.3789, 0.5039)
Fe (0.6211, 0.1250, 0.9961)
Fe (0.8750, 0.8711, 0.4961)

As for the volume: 30.1 Å³/atom. For the formation energy from the elements, the calculation gives 1.440 eV per atom. As for the density of states at the Fermi level: 3.14 states/eV per atom. The calculation puts the excess energy over the best structure of this formula in the dataset at 0.42 eV/f.u. Its space group is I-42d, No. 122.